Entry 1:
! LaGdZr (GGA-PBE, relaxed); values from VASP
&SYSTEM
  ibrav = 0, nat = 3, ntyp = 3
/
ATOMIC_SPECIES
La 138.91 La.upf
Zr 91.22 Zr.upf
Gd 157.25 Gd.upf
ATOMIC_POSITIONS crystal
La 0.0000 0.0000 0.0000
Zr 0.7500 0.7500 0.7500
Gd 0.2500 0.2500 0.2500
CELL_PARAMETERS angstrom
-0.0155 -2.5606 4.5066
-3.7679 -3.4064 1.0323
1.0504 -5.0747 0.1010
! - calculated formation energy (eV/atom) = 0.94
! - total energy (eV per atom) = -5.099

---

Entry 2:
! LiGd (GGA-PBE, relaxed); values from VASP
&SYSTEM
  ibrav = 0, nat = 2, ntyp = 2
/
ATOMIC_SPECIES
Li 6.94 Li.upf
Gd 157.25 Gd.upf
ATOMIC_POSITIONS crystal
Li 0.5000 0.5000 0.5000
Gd 0.0000 0.0000 0.0000
CELL_PARAMETERS angstrom
0.0000 3.0222 3.0222
3.0222 0.0000 3.0222
3.0222 3.0222 0.0000
! - total energy (eV per atom) = -2.747
! - excess energy over the best structure of this formula in the dataset (kcal/mol of atoms) = 8.70

---

Entry 3:
! LiGd (GGA-PBE, relaxed); values from VASP
&SYSTEM
  ibrav = 0, nat = 2, ntyp = 2
/
ATOMIC_SPECIES
Gd 157.25 Gd.upf
Li 6.94 Li.upf
ATOMIC_POSITIONS crystal
Gd 0.0000 0.0000 0.0000
Li 0.2500 0.2500 0.2500
CELL_PARAMETERS angstrom
0.0000 3.2477 3.2477
3.2477 0.0000 3.2477
3.2477 3.2477 0.0000
! - total energy (eV per atom) = -2.030
! - excess energy over the best structure of this formula in the dataset (kcal/mol of atoms) = 25.22

---

Entry 4:
! LiGd (GGA-PBE, relaxed); values from VASP
&SYSTEM
  ibrav = 0, nat = 2, ntyp = 2
/
ATOMIC_SPECIES
Li 6.94 Li.upf
Gd 157.25 Gd.upf
ATOMIC_POSITIONS crystal
Li 0.3333 0.6667 0.2500
Gd 0.6667 0.3333 0.7500
CELL_PARAMETERS angstrom
-1.9005 2.7424 0.4516
-1.4531 -2.9668 -0.6504
-0.2469 -1.0524 5.3520
! - total energy (eV per atom) = -3.101
! - excess energy over the best structure of this formula in the dataset (kcal/mol of atoms) = 0.53

---

Entry 5:
! LiGdLu (GGA-PBE, relaxed); values from VASP
&SYSTEM
  ibrav = 0, nat = 3, ntyp = 3
/
ATOMIC_SPECIES
Gd 157.25 Gd.upf
Lu 174.97 Lu.upf
Li 6.94 Li.upf
ATOMIC_POSITIONS crystal
Gd 0.5000 0.5000 0.5000
Lu 0.0000 0.0000 0.0000
Li 0.2500 0.2500 0.2500
CELL_PARAMETERS angstrom
-2.5114 0.5956 4.2790
-0.2724 4.5123 2.1300
-4.3314 2.4920 0.0289
! - total energy (eV per atom) = -3.184
! - excess energy over the best structure of this formula in the dataset (kcal/mol of atoms) = 0.00

---

Entry 6:
! Li2GdLuSn2Pt2 (GGA-PBE, relaxed); values from VASP
&SYSTEM
  ibrav = 0, nat = 8, ntyp = 5
/
ATOMIC_SPECIES
Pt 195.08 Pt.upf
Li 6.94 Li.upf
Gd 157.25 Gd.upf
Lu 174.97 Lu.upf
Sn 118.71 Sn.upf
ATOMIC_POSITIONS crystal
Pt 0.5000 0.0000 0.7406
Li 0.5000 0.0000 0.2525
Gd 0.0000 0.0000 0.0000
Lu 0.5000 0.5000 0.5000
Sn 0.0000 0.0000 0.5000
Li 0.0000 0.5000 0.7475
Pt 0.0000 0.5000 0.2594
Sn 0.5000 0.5000 0.0000
CELL_PARAMETERS angstrom
-2.0760 -2.6252 3.3549
4.1741 -0.5085 2.1851
-1.2040 5.5388 3.5890
! - total energy (eV per atom) = -5.056

---

Entry 7:
! LiGdMg2 (GGA-PBE, relaxed); values from VASP
&SYSTEM
  ibrav = 0, nat = 4, ntyp = 3
/
ATOMIC_SPECIES
Mg 24.30 Mg.upf
Gd 157.25 Gd.upf
Li 6.94 Li.upf
ATOMIC_POSITIONS crystal
Mg 0.5000 0.5000 0.7536
Gd 0.0000 0.0000 0.7473
Mg 0.5000 0.0000 0.2469
Li 0.0000 0.5000 0.2523
CELL_PARAMETERS angstrom
-1.1686 2.6911 1.8809
0.6741 -2.8764 4.5343
5.0543 1.8845 0.4441
! - total energy (eV per atom) = -2.390

---

Entry 8:
! Li2GdMgSn2Pt2 (GGA-PBE, relaxed); values from VASP
&SYSTEM
  ibrav = 0, nat = 8, ntyp = 5
/
ATOMIC_SPECIES
Pt 195.08 Pt.upf
Li 6.94 Li.upf
Mg 24.30 Mg.upf
Gd 157.25 Gd.upf
Sn 118.71 Sn.upf
ATOMIC_POSITIONS crystal
Pt 0.0000 0.5000 0.2638
Li 0.5000 0.0000 0.2792
Pt 0.5000 0.0000 0.7362
Mg 0.5000 0.5000 0.5000
Gd 0.0000 0.0000 0.0000
Sn 0.5000 0.5000 0.0000
Li 0.0000 0.5000 0.7208
Sn 0.0000 0.0000 0.5000
CELL_PARAMETERS angstrom
-2.0840 -1.3847 3.9437
4.1314 -0.0137 2.1783
-0.9126 6.4187 1.7714
! - total energy (eV per atom) = -4.535

---

Entry 9:
! LiGdMgSe3 (GGA-PBE, relaxed); values from VASP
&SYSTEM
  ibrav = 0, nat = 12, ntyp = 4
/
ATOMIC_SPECIES
Gd 157.25 Gd.upf
Li 6.94 Li.upf
Se 78.96 Se.upf
Mg 24.30 Mg.upf
ATOMIC_POSITIONS crystal
Gd 0.0000 0.0000 0.0000
Li 0.7510 0.2490 0.7500
Se 0.3595 0.6405 0.5733
Se 0.9062 0.0938 0.2500
Se 0.0938 0.9062 0.7500
Li 0.2490 0.7510 0.2500
Gd 0.0000 0.0000 0.5000
Mg 0.5256 0.4744 0.2500
Mg 0.4744 0.5256 0.7500
Se 0.6405 0.3595 0.0733
Se 0.6405 0.3595 0.4267
Se 0.3595 0.6405 0.9267
CELL_PARAMETERS angstrom
2.0472 -6.5513 0.0000
2.0472 6.5513 0.0000
0.0000 0.0000 11.3612
! - total energy (eV per atom) = -4.494

---

Entry 10:
! LiGdMgTe3 (GGA-PBE, relaxed); values from VASP
&SYSTEM
  ibrav = 0, nat = 12, ntyp = 4
/
ATOMIC_SPECIES
Te 127.60 Te.upf
Mg 24.30 Mg.upf
Gd 157.25 Gd.upf
Li 6.94 Li.upf
ATOMIC_POSITIONS crystal
Te 0.6418 0.3582 0.4277
Te 0.1027 0.8973 0.7500
Mg 0.4834 0.5166 0.7500
Te 0.6418 0.3582 0.0723
Gd 0.0000 0.0000 0.0000
Te 0.3582 0.6418 0.9277
Li 0.7783 0.2217 0.7500
Te 0.8973 0.1027 0.2500
Li 0.2217 0.7783 0.2500
Gd 0.0000 0.0000 0.5000
Te 0.3582 0.6418 0.5723
Mg 0.5166 0.4834 0.2500
CELL_PARAMETERS angstrom
2.1787 -7.1669 0.0000
2.1787 7.1669 0.0000
0.0000 0.0000 11.7904
! - total energy (eV per atom) = -3.977

---

Entry 11:
! LiGdNO (GGA-PBE, relaxed); values from VASP
&SYSTEM
  ibrav = 0, nat = 8, ntyp = 4
/
ATOMIC_SPECIES
N 14.01 N.upf
O 16.00 O.upf
Gd 157.25 Gd.upf
Li 6.94 Li.upf
ATOMIC_POSITIONS crystal
N 0.0000 0.9401 0.3456
O 0.5000 0.4051 0.1392
O 0.5000 0.9051 0.8608
Gd 0.0000 0.9424 0.7067
N 0.0000 0.4401 0.6544
Li 0.5000 0.4664 0.8467
Gd 0.0000 0.4424 0.2933
Li 0.5000 0.9664 0.1533
CELL_PARAMETERS angstrom
-1.9203 -3.3260 0.0000
0.0000 0.0000 4.6230
-5.6201 3.2448 0.0000
! - total energy (eV per atom) = -6.454
! - excess energy over the best structure of this formula in the dataset (kcal/mol of atoms) = 2.38

---

Entry 12:
! LiGdNO (GGA-PBE, relaxed); values from VASP
&SYSTEM
  ibrav = 0, nat = 8, ntyp = 4
/
ATOMIC_SPECIES
N 14.01 N.upf
O 16.00 O.upf
Gd 157.25 Gd.upf
Li 6.94 Li.upf
ATOMIC_POSITIONS crystal
N 0.2500 0.2500 0.6278
O 0.2500 0.7500 0.0000
Gd 0.2500 0.2500 0.1692
Li 0.2500 0.7500 0.5000
Li 0.7500 0.2500 0.5000
O 0.7500 0.2500 0.0000
N 0.7500 0.7500 0.3722
Gd 0.7500 0.7500 0.8308
CELL_PARAMETERS angstrom
3.7094 0.0000 0.0000
0.0000 3.7094 0.0000
0.0000 0.0000 7.1953
! - total energy (eV per atom) = -6.376
! - excess energy over the best structure of this formula in the dataset (kcal/mol of atoms) = 4.17

---

Entry 13:
! LiGdNO (GGA-PBE, relaxed); values from VASP
&SYSTEM
  ibrav = 0, nat = 16, ntyp = 4
/
ATOMIC_SPECIES
O 16.00 O.upf
N 14.01 N.upf
Gd 157.25 Gd.upf
Li 6.94 Li.upf
ATOMIC_POSITIONS crystal
O 0.0894 0.6201 0.4881
N 0.2500 0.0424 0.7381
Gd 0.9788 0.2941 0.4881
N 0.2500 0.0424 0.2381
O 0.5894 0.3799 0.4881
Li 0.4807 0.8984 0.9881
O 0.9106 0.3799 0.9881
Li 0.9807 0.1016 0.9881
N 0.7500 0.9576 0.2381
Li 0.0193 0.8984 0.4881
Gd 0.4788 0.7059 0.4881
O 0.4106 0.6201 0.9881
Gd 0.0212 0.7059 0.9881
Gd 0.5212 0.2941 0.9881
Li 0.5193 0.1016 0.4881
N 0.7500 0.9576 0.7381
CELL_PARAMETERS angstrom
-4.8552 3.1587 -0.1765
-2.5603 -4.1817 -4.4085
-1.7871 -2.5536 3.4601
! - total energy (eV per atom) = -6.557
! - excess energy over the best structure of this formula in the dataset (kcal/mol of atoms) = 0.00

---

Entry 14:
! LiGdNO (GGA-PBE, relaxed); values from VASP
&SYSTEM
  ibrav = 0, nat = 8, ntyp = 4
/
ATOMIC_SPECIES
O 16.00 O.upf
N 14.01 N.upf
Gd 157.25 Gd.upf
Li 6.94 Li.upf
ATOMIC_POSITIONS crystal
O 0.5000 0.9398 0.8426
N 0.0000 0.4302 0.6354
Gd 0.5000 0.9402 0.2109
O 0.5000 0.4398 0.1574
Li 0.0000 0.4439 0.3127
Li 0.0000 0.9439 0.6873
Gd 0.5000 0.4402 0.7891
N 0.0000 0.9302 0.3646
CELL_PARAMETERS angstrom
-2.0419 -3.5366 0.0000
0.0000 0.0000 4.5233
-5.3471 3.0872 0.0000
! - total energy (eV per atom) = -6.461
! - excess energy over the best structure of this formula in the dataset (kcal/mol of atoms) = 2.22

---

Entry 15:
! LiGdNO (GGA-PBE, relaxed); values from VASP
&SYSTEM
  ibrav = 0, nat = 8, ntyp = 4
/
ATOMIC_SPECIES
O 16.00 O.upf
N 14.01 N.upf
Li 6.94 Li.upf
Gd 157.25 Gd.upf
ATOMIC_POSITIONS crystal
O 0.2500 0.7500 0.0000
N 0.7500 0.7500 0.5004
Li 0.2500 0.2500 0.9994
Gd 0.2500 0.7500 0.5000
Gd 0.7500 0.2500 0.5000
Li 0.7500 0.7500 0.0006
O 0.7500 0.2500 0.0000
N 0.2500 0.2500 0.4996
CELL_PARAMETERS angstrom
4.7929 0.0000 0.0000
0.0000 4.7929 0.0000
0.0000 0.0000 4.4817
! - total energy (eV per atom) = -6.438
! - excess energy over the best structure of this formula in the dataset (kcal/mol of atoms) = 2.75

---

Entry 16:
! LiGdNO (GGA-PBE, relaxed); values from VASP
&SYSTEM
  ibrav = 0, nat = 8, ntyp = 4
/
ATOMIC_SPECIES
N 14.01 N.upf
Gd 157.25 Gd.upf
O 16.00 O.upf
Li 6.94 Li.upf
ATOMIC_POSITIONS crystal
N 0.5000 0.0000 0.4988
N 0.0000 0.5000 0.5012
Gd 0.5000 0.5000 0.5000
O 0.0000 0.0000 0.0000
Li 0.0000 0.5000 0.0000
Li 0.5000 0.0000 0.0000
Gd 0.0000 0.0000 0.5000
O 0.5000 0.5000 0.0000
CELL_PARAMETERS angstrom
4.7698 0.0000 0.0000
0.0000 4.7698 0.0000
0.0000 0.0000 4.4793
! - total energy (eV per atom) = -6.434
! - excess energy over the best structure of this formula in the dataset (kcal/mol of atoms) = 2.83

---

Entry 17:
! LiGdNb (GGA-PBE, relaxed); values from VASP
&SYSTEM
  ibrav = 0, nat = 3, ntyp = 3
/
ATOMIC_SPECIES
Li 6.94 Li.upf
Gd 157.25 Gd.upf
Nb 92.91 Nb.upf
ATOMIC_POSITIONS crystal
Li 0.2500 0.2500 0.2500
Gd 0.7500 0.7500 0.7500
Nb 0.0000 0.0000 0.0000
CELL_PARAMETERS angstrom
2.7292 -3.8002 0.9805
4.7224 0.5210 0.5275
1.9878 -0.4638 4.3226
! - total energy (eV per atom) = -4.342

---

Entry 18:
! Li4GdNbO6 (GGA-PBE, relaxed); values from VASP
&SYSTEM
  ibrav = 0, nat = 12, ntyp = 4
/
ATOMIC_SPECIES
Li 6.94 Li.upf
Gd 157.25 Gd.upf
Nb 92.91 Nb.upf
O 16.00 O.upf
ATOMIC_POSITIONS crystal
Li 0.5014 0.4986 0.0000
Gd 0.8343 0.1657 0.0000
Nb 0.1681 0.8319 0.0000
O 0.5419 0.9069 0.2396
Li 0.0231 0.9769 0.5000
O 0.7820 0.7528 0.7574
O 0.3922 0.0666 0.7678
Li 0.3386 0.6614 0.5000
O 0.2472 0.2180 0.2426
O 0.9334 0.6078 0.2322
Li 0.6448 0.3552 0.5000
O 0.0931 0.4581 0.7604
CELL_PARAMETERS angstrom
4.3831 -0.9194 3.1410
-0.1954 -1.9603 -5.1031
0.7007 5.0607 -1.0281
! - total energy (eV per atom) = -6.825

---

Entry 19:
! Li3Gd2Ni3 (GGA-PBE, relaxed); values from VASP
&SYSTEM
  ibrav = 0, nat = 8, ntyp = 3
/
ATOMIC_SPECIES
Li 6.94 Li.upf
Gd 157.25 Gd.upf
Ni 58.69 Ni.upf
ATOMIC_POSITIONS crystal
Li 0.0000 0.0000 0.5000
Gd 0.5000 0.0000 0.2990
Ni 0.0000 0.0000 0.1663
Ni 0.0000 0.0000 0.0000
Ni 0.0000 0.0000 0.8337
Li 0.5000 0.5000 0.0000
Gd 0.0000 0.5000 0.7010
Li 0.5000 0.5000 0.5000
CELL_PARAMETERS angstrom
3.4765 0.0000 0.0000
0.0000 3.4765 0.0000
0.0000 0.0000 13.3783
! - total energy (eV per atom) = -3.457

---

Entry 20:
! LiGdNiSn (GGA-PBE, relaxed); values from VASP
&SYSTEM
  ibrav = 0, nat = 4, ntyp = 4
/
ATOMIC_SPECIES
Ni 58.69 Ni.upf
Sn 118.71 Sn.upf
Li 6.94 Li.upf
Gd 157.25 Gd.upf
ATOMIC_POSITIONS crystal
Ni 0.7500 0.7500 0.7500
Sn 0.0000 0.0000 0.0000
Li 0.2500 0.2500 0.2500
Gd 0.5000 0.5000 0.5000
CELL_PARAMETERS angstrom
0.0000 3.2884 3.2884
3.2884 0.0000 3.2884
3.2884 3.2884 0.0000
! - total energy (eV per atom) = -4.621

---

Entry 21:
! LiGdNiTe3 (GGA-PBE, relaxed); values from VASP
&SYSTEM
  ibrav = 0, nat = 12, ntyp = 4
/
ATOMIC_SPECIES
Ni 58.69 Ni.upf
Te 127.60 Te.upf
Li 6.94 Li.upf
Gd 157.25 Gd.upf
ATOMIC_POSITIONS crystal
Ni 0.5121 0.4879 0.2500
Te 0.0986 0.9014 0.7500
Ni 0.4879 0.5121 0.7500
Te 0.6423 0.3577 0.0915
Te 0.6423 0.3577 0.4085
Te 0.9014 0.0986 0.2500
Li 0.2359 0.7641 0.2500
Gd 0.0000 0.0000 0.0000
Te 0.3577 0.6423 0.5915
Gd 0.0000 0.0000 0.5000
Te 0.3577 0.6423 0.9085
Li 0.7641 0.2359 0.7500
CELL_PARAMETERS angstrom
2.0361 -7.3285 0.0000
2.0361 7.3285 0.0000
0.0000 0.0000 10.7202
! - total energy (eV per atom) = -4.392

---

Entry 22:
! Li2GdO4 (GGA-PBE, relaxed); values from VASP
&SYSTEM
  ibrav = 0, nat = 14, ntyp = 3
/
ATOMIC_SPECIES
O 16.00 O.upf
Li 6.94 Li.upf
Gd 157.25 Gd.upf
ATOMIC_POSITIONS crystal
O 0.6092 0.2186 0.3906
O 0.1408 0.2814 0.8594
Li 0.3750 0.7500 0.1250
Gd 0.0000 0.0000 0.0000
O 0.6094 0.2186 0.8280
O 0.1406 0.7186 0.8592
O 0.6094 0.7814 0.3908
O 0.1406 0.2814 0.4220
O 0.5780 0.7186 0.8594
Li 0.8750 0.2500 0.6250
Gd 0.7500 0.5000 0.2500
O 0.1720 0.7814 0.3906
Li 0.3750 0.7500 0.6250
Li 0.3750 0.2500 0.6250
CELL_PARAMETERS angstrom
4.3725 -4.3738 0.0000
-4.3725 0.0000 -4.3738
4.3725 4.3738 0.0000
! - total energy (eV per atom) = -5.507

---

Entry 23:
! Li8Gd4O11 (GGA-PBE, relaxed); values from VASP
&SYSTEM
  ibrav = 0, nat = 23, ntyp = 3
/
ATOMIC_SPECIES
O 16.00 O.upf
Li 6.94 Li.upf
Gd 157.25 Gd.upf
ATOMIC_POSITIONS crystal
O 0.8784 0.7506 0.8157
Li 0.7657 0.2473 0.5457
O 0.7760 0.8957 0.2882
O 0.2196 0.0954 0.6995
Li 0.3528 0.3705 0.4683
O 0.0502 0.3382 0.8162
O 0.7461 0.1522 0.8580
Li 0.9375 0.9406 0.5477
O 0.6127 0.2322 0.2860
Gd 0.0768 0.7548 0.8663
Li 0.2530 0.4815 0.8847
O 0.3689 0.7538 0.6904
O 0.4332 0.5897 0.2019
O 0.0215 0.6496 0.3801
Li 0.4594 0.9623 0.4369
Gd 0.9262 0.1816 0.1013
O 0.5448 0.4219 0.7220
O 0.2851 0.9634 0.2042
Gd 0.5831 0.8394 0.9849
Li 0.7456 0.5188 0.9920
Gd 0.4246 0.1891 0.9930
Li 0.2211 0.7854 0.4471
Li 0.6939 0.6386 0.5277
CELL_PARAMETERS angstrom
5.6056 9.7574 -2.4708
1.3434 -4.6195 -2.8691
-4.7770 1.0516 -1.7962
! - total energy (eV per atom) = -6.152
! - excess energy over the best structure of this formula in the dataset (kcal/mol of atoms) = 0.76

---

Entry 24:
! LiGdO3 (GGA-PBE, relaxed); values from VASP
&SYSTEM
  ibrav = 0, nat = 10, ntyp = 3
/
ATOMIC_SPECIES
Gd 157.25 Gd.upf
O 16.00 O.upf
Li 6.94 Li.upf
ATOMIC_POSITIONS crystal
Gd 0.7500 0.7500 0.7500
Gd 0.2500 0.2500 0.2500
O 0.2500 0.6651 0.8349
Li 0.0000 0.0000 0.0000
O 0.1651 0.7500 0.3349
O 0.6651 0.8349 0.2500
O 0.3349 0.1651 0.7500
Li 0.5000 0.5000 0.5000
O 0.8349 0.2500 0.6651
O 0.7500 0.3349 0.1651
CELL_PARAMETERS angstrom
2.7732 -1.6011 -3.8214
-2.7732 -1.6011 -3.8214
0.0000 3.2022 -3.8214
! - total energy (eV per atom) = -6.236